Entry 1:
{
  "formula": "BWNO2",
  "functional": "PBE with a Hubbard U",
  "state": "relaxed",
  "lattice_angstrom": [[3.013, 0.000, 0.000], [0.000, 7.044, 0.000], [0.000, 0.000, 3.013]],
  "species": ["B", "O", "O", "W", "N"],
  "frac_coords": [[0.000, 0.000, 0.000], [0.000, 0.000, 0.500], [0.500, 0.000, 0.000], [0.000, 0.500, 0.000], [0.500, 0.500, 0.500]],
  "vol_a3_per_cell": 63.9,
  "total_energy_ev_per_atom": -6.655,
  "dos_ef_per_ev_atom": 0.1921
}

***

Entry 2:
{
  "formula": "ZrVN2F",
  "functional": "PBE with a Hubbard U",
  "state": "relaxed",
  "lattice_angstrom": [[-1.357, -3.683, -0.292], [3.470, -1.378, 1.245], [-1.201, 0.163, 3.527]],
  "species": ["N", "N", "F", "Zr", "V"],
  "frac_coords": [[0.000, 0.500, 0.000], [0.500, 0.000, 0.000], [0.000, 0.000, 0.500], [0.500, 0.500, 0.500], [0.000, 0.000, 0.000]],
  "vol_a3_per_cell": 57.8,
  "relative_energy_ev_per_atom": 0.000,
  "dos_ef_per_ev_atom": 0.2648
}